# PBE-GGA Er2AlCd, relaxed
data_Er2AlCd
_chemical_formula_sum 'Er2 Al1 Cd1'
_symmetry_space_group_name_H-M 'P 1'
_symmetry_Int_Tables_number 1
_symmetry_space_group_name_Hall 'P 1'
_cell_length_a 5.1541
_cell_length_b 5.1541
_cell_length_c 5.1541
_cell_angle_alpha 60.00
_cell_angle_beta 60.00
_cell_angle_gamma 60.00
loop_
_atom_site_label
_atom_site_fract_x
_atom_site_fract_y
_atom_site_fract_z
Cd1 0.7500 0.7500 0.7500
Al1 0.2500 0.2500 0.2500
Er1 0.0000 0.0000 0.0000
Er2 0.5000 0.5000 0.5000
# E_form ... -0.35 eV per atom



# PBE-GGA PuSBr3, relaxed
data_PuSBr3
_chemical_formula_sum 'Pu2 S2 Br6'
_symmetry_space_group_name_H-M 'P 1'
_symmetry_Int_Tables_number 1
_symmetry_space_group_name_Hall 'P 1'
_cell_length_a 8.0286
_cell_length_b 8.0286
_cell_length_c 8.1069
_cell_angle_alpha 119.33
_cell_angle_beta 101.23
_cell_angle_gamma 107.98
loop_
_atom_site_label
_atom_site_fract_x
_atom_site_fract_y
_atom_site_fract_z
Pu1 0.5007 0.7604 0.2611
Pu2 0.4993 0.2396 0.7389
S1 0.6606 0.9976 0.6582
S2 0.3394 0.0024 0.3418
Br1 0.7829 0.0396 0.2600
Br2 0.2204 0.4771 0.2600
Br3 0.7796 0.5229 0.7400
Br4 0.6870 0.4957 0.1827
Br5 0.2171 0.9604 0.7400
Br6 0.3130 0.5043 0.8173
# Raw formation energy ... -1009 meV per atom



# PBE-GGA AcSm2Y, relaxed
data_AcSm2Y
_chemical_formula_sum 'Ac1 Sm2 Y1'
_symmetry_space_group_name_H-M 'P 1'
_symmetry_Int_Tables_number 1
_symmetry_space_group_name_Hall 'P 1'
_cell_length_a 3.7282
_cell_length_b 3.7282
_cell_length_c 12.2047
_cell_angle_alpha 81.22
_cell_angle_beta 81.22
_cell_angle_gamma 59.97
loop_
_atom_site_label
_atom_site_fract_x
_atom_site_fract_y
_atom_site_fract_z
Ac1 0.4997 0.4997 0.4996
Sm1 0.0804 0.0804 0.7609
Sm2 0.2538 0.2538 0.2389
Y1 0.6661 0.6661 0.0007
# E_form ... 0.05 eV per atom



# PBE-GGA CaCd4In7, relaxed
data_CaCd4In7
_chemical_formula_sum 'Ca1 Cd4 In7'
_symmetry_space_group_name_H-M 'P 1'
_symmetry_Int_Tables_number 1
_symmetry_space_group_name_Hall 'P 1'
_cell_length_a 6.1100
_cell_length_b 9.2568
_cell_length_c 7.0023
_cell_angle_alpha 84.18
_cell_angle_beta 64.13
_cell_angle_gamma 70.73
loop_
_atom_site_label
_atom_site_fract_x
_atom_site_fract_y
_atom_site_fract_z
Ca1 0.0000 0.0000 0.0000
Cd1 0.5058 0.2714 0.7169
Cd2 0.4942 0.7286 0.2831
Cd3 0.7582 0.6840 0.7996
Cd4 0.2418 0.3160 0.2004
In1 0.7695 0.9479 0.5131
In2 0.2305 0.0521 0.4869
In3 0.0603 0.6456 0.2339
In4 0.9397 0.3544 0.7661
In5 0.3251 0.6187 0.7311
In6 0.5000 0.0000 0.0000
In7 0.6749 0.3813 0.2689
# E_form ... 0.02 eV per atom



| no. | Fermi-level density of states (states/eV/f.u.) |
| --- | --- |
| 1 | 2.61 |
| 2 | 7.42 |
| 3 | 5.62 |
| 4 | 4.57 |